No. 1
VASP calculation (PBE) on ScIn2Hg after structural relaxation.

Total energy, eV per atom: -3.324

a b c (Å): 4.4984 4.4984 4.4546
angles (deg): 90.00 90.00 90.00
Space group P4/mmm (No. 123)
Asymmetric unit:
Sc1 0.0000 0.0000 0.0000 [1 per cell]
In1 0.0000 0.5000 0.5000 [2 per cell]
Hg1 0.5000 0.5000 0.0000 [1 per cell]

No. 2
VASP calculation (PBE) on BaTl2Ag2 after structural relaxation.

Offset from the most stable computed form, kJ/mol of formula units: 0
Total energy, eV per atom: -2.651

a b c (Å): 4.7781 4.7781 12.8350
angles (deg): 90.00 90.00 90.00
Space group I4/mmm (No. 139)
Asymmetric unit:
Ba1 0.0000 0.0000 0.0000 [2 per cell]
Tl1 0.0000 0.5000 0.2500 [4 per cell]
Ag1 0.0000 0.0000 0.3921 [4 per cell]

No. 3
VASP calculation (PBE) on Tb6PrEr2Sc after structural relaxation.

Total energy, eV per atom: -4.674

a b c (Å): 9.2447 14.9414 9.2026
angles (deg): 90.00 94.62 90.00
Space group C2/c (No. 15)
Asymmetric unit:
Tb1 0.0551 0.1796 0.4448 [8 per cell]
Tb2 0.0961 0.3848 0.6088 [8 per cell]
Tb3 0.2269 0.2203 0.8095 [8 per cell]
Pr1 0.0000 0.0310 0.7500 [4 per cell]
Er1 0.2406 0.4480 0.9458 [8 per cell]
Sc1 0.0000 0.4192 0.2500 [4 per cell]

No. 4
VASP calculation (PBE) on NbCrPt2 after structural relaxation.

Total energy, eV per atom: -8.201

a b c (Å): 6.3913 6.3913 6.3913
angles (deg): 90.00 90.00 90.00
Space group Fm-3m (No. 225)
Asymmetric unit:
Nb1 0.0000 0.0000 0.0000 [4 per cell]
Cr1 0.0000 0.0000 0.5000 [4 per cell]
Pt1 0.2500 0.2500 0.2500 [8 per cell]

No. 5
VASP calculation (PBE) on Ni3C2 after structural relaxation.

Total energy, eV per atom: -6.674

a b c (Å): 9.1070 11.2373 3.6205
angles (deg): 90.00 90.00 90.00
Space group Fdd2 (No. 43)
Asymmetric unit:
Ni1 0.0000 0.0000 0.0000 [8 per cell]
Ni2 0.0060 0.3268 0.0483 [16 per cell]
C1 0.0814 0.1642 0.0457 [16 per cell]

No. 6
VASP calculation (PBE) on LaThCuTc after structural relaxation.

Total energy, eV per atom: -6.716

a b c (Å): 7.1752 7.1752 7.1752
angles (deg): 90.00 90.00 90.00
Space group F-43m (No. 216)
Asymmetric unit:
La1 0.0000 0.0000 0.0000 [4 per cell]
Th1 0.0000 0.0000 0.5000 [4 per cell]
Cu1 0.2500 0.2500 0.7500 [4 per cell]
Tc1 0.2500 0.2500 0.2500 [4 per cell]

No. 7
VASP calculation (PBE) on NaCaPmTl after structural relaxation.

Total energy, eV per atom: -2.762

a b c (Å): 7.8476 7.8476 7.8476
angles (deg): 90.00 90.00 90.00
Space group F-43m (No. 216)
Asymmetric unit:
Na1 0.0000 0.0000 0.0000 [4 per cell]
Ca1 0.2500 0.2500 0.2500 [4 per cell]
Pm1 0.2500 0.2500 0.7500 [4 per cell]
Tl1 0.0000 0.0000 0.5000 [4 per cell]

No. 8
VASP calculation (PBE) on FeSiN3 after structural relaxation.

Formation energy (no corrections), eV/f.u.: 4.60
Total energy, eV per atom: -6.853

a b c (Å): 3.5144 3.5144 3.5144
angles (deg): 90.00 90.00 90.00
Space group Pm-3m (No. 221)
Asymmetric unit:
Fe1 0.0000 0.0000 0.0000 [1 per cell]
Si1 0.5000 0.5000 0.5000 [1 per cell]
N1 0.0000 0.5000 0.5000 [3 per cell]